AcHo3O (PBE, relaxed); total moment = 0.00 μB per formula unit; formation energy without anion corrections = -0.96 eV/atom
1.0
5.037 0.000 0.000
0.000 5.037 0.000
0.000 0.000 5.037
Ac Ho O
1 3 1
Direct
0.000 0.000 0.000 Ac
0.000 0.500 0.500 Ho
0.500 0.000 0.500 Ho
0.500 0.500 0.000 Ho
0.500 0.500 0.500 O